No. 1
# LiMg2Ag

A crystal of LiMg2Ag relaxed with PBEsol (meta-GGA SCAN, Alexandria).

Computed properties:
Energy of formation from the pure elements in meV/atom: -168
Excess energy over the best structure of this formula in the dataset in kJ/mol of formula units: 40
Total moment in μB per formula unit: 0.00
SG: F-43m (216)

a = 4.6755 Å, b = 4.6755 Å, c = 4.6755 Å
α = 60.00°, β = 60.00°, γ = 60.00°
Closest atoms and distances in Å follow each position.
Sites, in units of the cell vectors:
Mg  0.0000  0.0000  0.0000  4 Li 2.86, 4 Mg 2.86
Ag  0.5000  0.5000  0.5000  4 Mg 2.86, 4 Li 2.86
Li  0.2500  0.2500  0.2500  4 Ag 2.86, 4 Mg 2.86
Mg  0.7500  0.7500  0.7500  4 Ag 2.86, 4 Mg 2.86


No. 2
# Li2MnAg

A crystal of Li2MnAg relaxed with PBEsol (meta-GGA SCAN, Alexandria).

Computed properties:
Energy of formation from the pure elements in meV/atom: -63
Total moment in μB per formula unit: 4.30
SG: I-4m2 (119)

a = 3.9837 Å, b = 3.9837 Å, c = 4.7258 Å
α = 114.93°, β = 114.93°, γ = 90.00°
Closest atoms and distances in Å follow each position.
Sites, in units of the cell vectors:
Mn  0.5000  0.5000  0.0000  8 Li 2.75-2.82, 4 Ag 2.75
Li  0.2500  0.7500  0.5000  4 Mn 2.75, 4 Li 2.75, 4 Ag 2.82
Li  0.0000  0.0000  0.0000  4 Li 2.75, 4 Ag 2.75, 4 Mn 2.82
Ag  0.7500  0.2500  0.5000  4 Mn 2.75, 8 Li 2.75-2.82


No. 3
# LiMn2Ag

A crystal of LiMn2Ag relaxed with PBEsol (meta-GGA SCAN, Alexandria).

Computed properties:
Energy of formation from the pure elements in meV/atom: 507
Total moment in μB per formula unit: 1.50
SG: C2/m (12)

a = 2.8897 Å, b = 3.7059 Å, c = 4.9539 Å
α = 108.72°, β = 106.96°, γ = 90.00°
Closest atoms and distances in Å follow each position.
Sites, in units of the cell vectors:
Ag  0.0000  0.5000  0.0000  4 Li 2.35
Li  0.5000  0.0000  0.0000  4 Ag 2.35
Mn  0.7522  0.7791  0.5043  2 Mn 2.19
Mn  0.2478  0.2209  0.4957  2 Mn 2.19


No. 4
# LiMnAg2

A crystal of LiMnAg2 relaxed with PBEsol (meta-GGA SCAN, Alexandria).

Computed properties:
Energy of formation from the pure elements in meV/atom: 4
Total moment in μB per formula unit: 4.22
SG: P4mm (99)

a = 2.8034 Å, b = 2.8034 Å, c = 8.0619 Å
α = 90.00°, β = 90.00°, γ = 90.00°
Closest atoms and distances in Å follow each position.
Sites, in units of the cell vectors:
Ag  0.5000  0.5000  0.2563  4 Li 2.76, 8 Ag 2.80-2.89
Li  0.0000  0.0000  0.4950  4 Ag 2.76, 4 Li 2.80, 4 Mn 2.88
Mn  0.5000  0.5000  0.7540  4 Ag 2.77, 4 Mn 2.80, 4 Li 2.88
Ag  0.0000  0.0000  0.9947  4 Mn 2.77, 8 Ag 2.80-2.89


No. 5
# LiMnAg2

A crystal of LiMnAg2 relaxed with PBEsol (meta-GGA SCAN, Alexandria).

Computed properties:
Energy of formation from the pure elements in meV/atom: -82
Total moment in μB per formula unit: 4.12
SG: Cm (8)

a = 2.8194 Å, b = 4.7315 Å, c = 4.9025 Å
α = 99.47°, β = 106.71°, γ = 90.00°
Closest atoms and distances in Å follow each position.
Sites, in units of the cell vectors:
Mn  0.7451  0.2261  0.4902  7 Ag 2.72-2.76, 2 Mn 2.82, 3 Li 2.87-2.94
Ag  0.2512  0.7267  0.5024  3 Li 2.71-2.75, 4 Mn 2.75-2.76, 5 Ag 2.82-2.94
Ag  0.0004  0.0243  0.0008  3 Mn 2.72-2.73, 4 Li 2.74-2.76, 5 Ag 2.82-2.94
Li  0.5033  0.5229  0.0066  7 Ag 2.71-2.76, 2 Li 2.82, 3 Mn 2.87-2.94


No. 6
# LiMnAg2

A crystal of LiMnAg2 relaxed with PBEsol (meta-GGA SCAN, Alexandria).

Computed properties:
Energy of formation from the pure elements in meV/atom: -109
Total moment in μB per formula unit: 4.26
SG: P4/mmm (123)

a = 3.1175 Å, b = 3.1169 Å, c = 6.2964 Å
α = 90.00°, β = 90.00°, γ = 90.00°
Closest atoms and distances in Å follow each position.
Sites, in units of the cell vectors:
Li  0.5000  0.5000  0.0000  8 Ag 2.69
Ag  0.0000  0.0000  0.7563  4 Li 2.69, 4 Mn 2.73
Ag  0.0000  0.0000  0.2437  4 Li 2.69, 4 Mn 2.73
Mn  0.5000  0.5000  0.5000  8 Ag 2.73


No. 7
# Li2MnAg

A crystal of Li2MnAg relaxed with PBEsol (meta-GGA SCAN, Alexandria).

Computed properties:
Energy of formation from the pure elements in meV/atom: 6
Total moment in μB per formula unit: 3.98
SG: R-3m (166)

a = 2.7787 Å, b = 2.7787 Å, c = 9.2011 Å
α = 81.32°, β = 81.32°, γ = 60.00°
Closest atoms and distances in Å follow each position.
Sites, in units of the cell vectors:
Li  0.7496  0.7496  0.7511  3 Ag 2.77, 6 Li 2.78, 3 Mn 2.78
Ag  0.0000  0.0000  0.0000  6 Li 2.77, 6 Ag 2.78
Li  0.2504  0.2504  0.2489  3 Ag 2.77, 6 Li 2.78, 3 Mn 2.78
Mn  0.5000  0.5000  0.5000  6 Mn 2.78, 6 Li 2.78


No. 8
# LiMn2Ag

A crystal of LiMn2Ag relaxed with PBEsol (meta-GGA SCAN, Alexandria).

Computed properties:
Energy of formation from the pure elements in meV/atom: 644
Total moment in μB per formula unit: 0.00
SG: Cmmm (65)

a = 2.4608 Å, b = 4.5563 Å, c = 4.9179 Å
α = 117.60°, β = 90.00°, γ = 90.00°
Closest atoms and distances in Å follow each position.
Sites, in units of the cell vectors:
Mn  0.0000  0.5000  0.5000  4 Mn 2.28-2.46
Mn  0.0000  0.0000  0.5000  4 Mn 2.28-2.46
Ag  0.5000  0.0000  0.0000  2 Li 2.28, 2 Ag 2.46
Li  0.5000  0.5000  0.0000  2 Ag 2.28, 2 Li 2.46


No. 9
# LiMn2Ag

A crystal of LiMn2Ag relaxed with PBEsol (meta-GGA SCAN, Alexandria).

Computed properties:
Energy of formation from the pure elements in meV/atom: 29
Total moment in μB per formula unit: 8.01
SG: P4/mmm (123)

a = 3.7819 Å, b = 3.7819 Å, c = 4.0397 Å
α = 90.00°, β = 90.00°, γ = 90.00°
Closest atoms and distances in Å follow each position.
Sites, in units of the cell vectors:
Li  0.0000  0.0000  0.5000  4 Ag 2.67, 8 Mn 2.77
Mn  0.5000  0.0000  0.0000  4 Mn 2.67, 4 Ag 2.77, 4 Li 2.77
Ag  0.5000  0.5000  0.5000  4 Li 2.67, 8 Mn 2.77
Mn  0.0000  0.5000  0.0000  4 Mn 2.67, 4 Li 2.77, 4 Ag 2.77


No. 10
# LiMnAgRu2

A crystal of LiMnAgRu2 relaxed with PBEsol (meta-GGA SCAN, Alexandria).

Computed properties:
Energy of formation from the pure elements in meV/atom: 1073
Total moment in μB per formula unit: 2.51
SG: P4/mmm (123)

a = 4.2858 Å, b = 4.2858 Å, c = 4.8523 Å
α = 90.00°, β = 90.00°, γ = 90.00°
Closest atoms and distances in Å follow each position.
Sites, in units of the cell vectors:
Li  0.5000  0.5000  0.5000  4 Ag 3.03, 8 Ru 3.24
Ag  0.0000  0.0000  0.5000  2 Mn 2.43
Ru  0.0000  0.5000  0.0000  2 Mn 2.14
Ru  0.5000  0.0000  0.0000  2 Mn 2.14
Mn  0.0000  0.0000  0.0000  4 Ru 2.14


No. 11
# Li2MnAgTe

A crystal of Li2MnAgTe relaxed with PBEsol (meta-GGA SCAN, Alexandria).

Computed properties:
Total moment in μB per formula unit: 4.56
Formation energy without anion corrections in eV/f.u.: -0.2
SG: P4/mmm (123)

a = 4.6542 Å, b = 4.6542 Å, c = 4.9605 Å
α = 90.00°, β = 90.00°, γ = 90.00°
Closest atoms and distances in Å follow each position.
Sites, in units of the cell vectors:
Li  0.5000  0.0000  0.0000  2 Ag 2.33
Mn  0.0000  0.0000  0.5000  2 Ag 2.48
Te  0.5000  0.5000  0.5000  4 Mn 3.29, 8 Li 3.40
Li  0.0000  0.5000  0.0000  2 Ag 2.33
Ag  0.0000  0.0000  0.0000  4 Li 2.33, 2 Mn 2.48


No. 12
# LiMnTl2Ag

A crystal of LiMnTl2Ag relaxed with PBEsol (meta-GGA SCAN, Alexandria).

Computed properties:
Energy of formation from the pure elements in meV/atom: 419
Total moment in μB per formula unit: 4.63
SG: P4/mmm (123)

a = 4.6523 Å, b = 5.2599 Å, c = 5.2599 Å
α = 90.00°, β = 90.00°, γ = 90.00°
Closest atoms and distances in Å follow each position.
Sites, in units of the cell vectors:
Tl  0.0000  0.0000  0.5000  2 Ag 2.63
Mn  0.5000  0.5000  0.5000  8 Tl 3.51, 4 Li 3.72
Tl  0.0000  0.5000  0.0000  2 Ag 2.63
Ag  0.0000  0.0000  0.0000  2 Li 2.33
Li  0.5000  0.0000  0.0000  2 Ag 2.33


No. 13
# LiAg2Mo

A crystal of LiAg2Mo relaxed with PBEsol (meta-GGA SCAN, Alexandria).

Computed properties:
Energy of formation from the pure elements in meV/atom: 567
Excess energy over the best structure of this formula in the dataset in kJ/mol of formula units: 91
Total moment in μB per formula unit: 0.00
SG: Immm (71)

a = 2.6843 Å, b = 4.8193 Å, c = 5.4618 Å
α = 116.18°, β = 104.23°, γ = 90.00°
Closest atoms and distances in Å follow each position.
Sites, in units of the cell vectors:
Ag  0.2335  0.2335  0.4670  2 Li 2.58, 6 Ag 2.68-2.78, 2 Mo 2.85
Li  0.5000  0.0000  0.0000  4 Ag 2.58, 2 Li 2.68, 4 Mo 2.76
Ag  0.7665  0.7665  0.5330  2 Li 2.58, 6 Ag 2.68-2.78, 2 Mo 2.85
Mo  0.0000  0.5000  0.0000  2 Mo 2.68, 4 Li 2.76, 4 Ag 2.85


No. 14
# LiAg2Mo

A crystal of LiAg2Mo relaxed with PBEsol (meta-GGA SCAN, Alexandria).

Computed properties:
Energy of formation from the pure elements in meV/atom: 546
Excess energy over the best structure of this formula in the dataset in kJ/mol of formula units: 84
Total moment in μB per formula unit: 0.00
SG: Pmmm (47)

a = 2.6767 Å, b = 4.8447 Å, c = 4.8680 Å
α = 90.00°, β = 90.00°, γ = 90.00°
Closest atoms and distances in Å follow each position.
Sites, in units of the cell vectors:
Li  0.5000  0.5000  0.0000  2 Li 2.68, 4 Ag 2.77, 4 Mo 2.78
Mo  0.0000  0.5000  0.5000  2 Mo 2.68, 4 Ag 2.77, 4 Li 2.78
Ag  0.0000  0.0000  0.0000  6 Ag 2.68-2.78, 4 Li 2.77
Ag  0.5000  0.0000  0.5000  6 Ag 2.68-2.78, 4 Mo 2.77